[1]
# In, optimized geometry, DFT PBE
# Energy relative to the elements, meV per atom: 59
# Offset from the most stable computed form, meV per atom: 59
data_In
_cell_length_a 6.888
_cell_length_b 6.888
_cell_length_c 6.888
_cell_angle_alpha 90.00
_cell_angle_beta 90.00
_cell_angle_gamma 90.00
_space_group_name_H-M_alt 'I -4 3 d'
_space_group_IT_number 220
_space_group_name_Hall 'I -4bd 2c 3'
loop_
_atom_site_label
_atom_site_type_symbol
_atom_site_fract_x
_atom_site_fract_y
_atom_site_fract_z
In1 In 0.000 0.250 0.875

[2]
# GaHgP2, optimized geometry, DFT PBE
# Energy relative to the elements, meV per atom: 49
# Offset from the most stable computed form, meV per atom: 0
data_GaHgP2
_cell_length_a 5.766
_cell_length_b 5.766
_cell_length_c 11.126
_cell_angle_alpha 90.00
_cell_angle_beta 90.00
_cell_angle_gamma 90.00
_space_group_name_H-M_alt 'I -4 2 d'
_space_group_IT_number 122
_space_group_name_Hall 'I -4 2bw'
loop_
_atom_site_label
_atom_site_type_symbol
_atom_site_fract_x
_atom_site_fract_y
_atom_site_fract_z
Ga1 Ga 0.000 0.000 0.000
Hg1 Hg 0.000 0.000 0.500
P1 P 0.224 0.250 0.125

[3]
# CdAgOs2, optimized geometry, DFT PBE
# Energy relative to the elements, meV per atom: 853
data_CdAgOs2
_cell_length_a 3.792
_cell_length_b 3.792
_cell_length_c 4.606
_cell_angle_alpha 90.00
_cell_angle_beta 90.00
_cell_angle_gamma 90.00
_space_group_name_H-M_alt 'P 4/m m m'
_space_group_IT_number 123
_space_group_name_Hall '-P 4 2'
loop_
_atom_site_label
_atom_site_type_symbol
_atom_site_fract_x
_atom_site_fract_y
_atom_site_fract_z
Cd1 Cd 0.000 0.000 0.000
Ag1 Ag 0.500 0.500 0.000
Os1 Os 0.000 0.500 0.500

[4]
# MgNbSCl2, optimized geometry, DFT PBE
# Uncorrected formation energy, meV per atom: -538.7
# Offset from the most stable computed form, meV per atom: 0
data_MgNbSCl2
_cell_length_a 4.977
_cell_length_b 4.977
_cell_length_c 4.833
_cell_angle_alpha 90.00
_cell_angle_beta 90.00
_cell_angle_gamma 90.00
_space_group_name_H-M_alt 'P 4/m m m'
_space_group_IT_number 123
_space_group_name_Hall '-P 4 2'
loop_
_atom_site_label
_atom_site_type_symbol
_atom_site_fract_x
_atom_site_fract_y
_atom_site_fract_z
Mg1 Mg 0.000 0.000 0.000
Nb1 Nb 0.500 0.500 0.500
S1 S 0.500 0.500 0.000
Cl1 Cl 0.000 0.500 0.500

[5]
# K2Rb5Cd, optimized geometry, DFT PBE
# Energy relative to the elements, meV per atom: 37
data_K2Rb5Cd
_cell_length_a 9.132
_cell_length_b 9.152
_cell_length_c 9.419
_cell_angle_alpha 117.66
_cell_angle_beta 117.28
_cell_angle_gamma 90.23
_space_group_name_H-M_alt 'P 1'
_space_group_IT_number 1
_space_group_name_Hall 'P 1'
loop_
_atom_site_label
_atom_site_type_symbol
_atom_site_fract_x
_atom_site_fract_y
_atom_site_fract_z
K1 K 0.000 0.000 0.000
K2 K 0.076 0.075 0.532
Rb1 Rb 0.060 0.582 0.539
Rb2 Rb 0.165 0.539 0.088
Rb3 Rb 0.539 0.165 0.088
Rb4 Rb 0.583 0.059 0.540
Rb5 Rb 0.613 0.612 0.966
Cd1 Cd 0.608 0.609 0.539